Material: Hf6SiSb2
Method: DFT, PBE-GGA
State: relaxed

It has space group P-62m (No. 189), with a = 7.4757 Å, b = 7.4757 Å, c = 3.8997 Å, α = 90.00°, β = 90.00° and γ = 120.00°. Symmetry generates all atoms from Hf at (0.0000, 0.2405, 0.0000), Hf at (0.0000, 0.6067, 0.5000), Si at (0.0000, 0.0000, 0.5000) and Sb at (0.3333, 0.6667, 0.0000).

=====

Material: HfSiSb2
Method: DFT, PBE-GGA
State: relaxed

It has space group F-43m (No. 216), with a = 7.116 Å, b = 7.116 Å, c = 7.116 Å, α = 90.00°, β = 90.00° and γ = 90.00°. Symmetry generates all atoms from Hf at (0.000, 0.000, 0.000), Si at (0.250, 0.250, 0.750), Sb at (0.000, 0.000, 0.500) and Sb at (0.250, 0.250, 0.250).

=====

Material: SmHfSb
Method: DFT, PBE-GGA
State: relaxed

It has space group F-43m (No. 216), with a = 7.253 Å, b = 7.253 Å, c = 7.253 Å, α = 90.00°, β = 90.00° and γ = 90.00°. Symmetry generates all atoms from Sm at (0.000, 0.000, 0.000), Hf at (0.250, 0.250, 0.750) and Sb at (0.250, 0.250, 0.250).

=====

Material: SmHfSb
Method: DFT, PBE-GGA
State: relaxed

It has space group F-43m (No. 216), with a = 6.986 Å, b = 6.986 Å, c = 6.986 Å, α = 90.00°, β = 90.00° and γ = 90.00°. Symmetry generates all atoms from Sm at (0.000, 0.000, 0.000), Hf at (0.000, 0.000, 0.500) and Sb at (0.250, 0.250, 0.750).

=====

Material: SmYHf2Sb2
Method: DFT, PBE-GGA
State: relaxed

It has space group I4mm (No. 107), with a = 4.286 Å, b = 4.286 Å, c = 16.665 Å, α = 90.00°, β = 90.00° and γ = 90.00°. Symmetry generates all atoms from Sm at (0.000, 0.000, 0.000), Y at (0.000, 0.000, 0.647), Hf at (0.000, 0.500, 0.322), Sb at (0.000, 0.000, 0.193) and Sb at (0.000, 0.000, 0.452).

=====

Material: HfSnSb2
Method: DFT, PBE-GGA
State: relaxed

It has space group F-43m (No. 216), with a = 7.378 Å, b = 7.378 Å, c = 7.378 Å, α = 90.00°, β = 90.00° and γ = 90.00°. Symmetry generates all atoms from Hf at (0.000, 0.000, 0.000), Sn at (0.250, 0.250, 0.750), Sb at (0.000, 0.000, 0.500) and Sb at (0.250, 0.250, 0.250).

=====

Material: HfSn2Sb
Method: DFT, PBE-GGA
State: relaxed

It has space group F-43m (No. 216), with a = 7.369 Å, b = 7.369 Å, c = 7.369 Å, α = 90.00°, β = 90.00° and γ = 90.00°. Symmetry generates all atoms from Hf at (0.000, 0.000, 0.000), Sn at (0.000, 0.000, 0.500), Sn at (0.250, 0.250, 0.250) and Sb at (0.250, 0.250, 0.750).

=====

Material: HfSnSb
Method: DFT, PBE-GGA
State: relaxed

It has space group F-43m (No. 216), with a = 6.966 Å, b = 6.966 Å, c = 6.966 Å, α = 90.00°, β = 90.00° and γ = 90.00°. Symmetry generates all atoms from Hf at (0.000, 0.000, 0.000), Sn at (0.250, 0.250, 0.250) and Sb at (0.250, 0.250, 0.750).

=====

Material: HfSnSb
Method: DFT, PBE-GGA
State: relaxed

It has space group F-43m (No. 216), with a = 6.981 Å, b = 6.981 Å, c = 6.981 Å, α = 90.00°, β = 90.00° and γ = 90.00°. Symmetry generates all atoms from Hf at (0.000, 0.000, 0.000), Sn at (0.000, 0.000, 0.500) and Sb at (0.250, 0.250, 0.750).

=====

Material: Hf3Sn4Sb4
Method: DFT, PBE-GGA
State: relaxed

It has space group I-42m (No. 121), with a = 7.713 Å, b = 7.713 Å, c = 11.415 Å, α = 90.00°, β = 90.00° and γ = 90.00°. Symmetry generates all atoms from Hf at (0.000, 0.000, 0.000), Hf at (0.000, 0.500, 0.250), Sn at (0.213, 0.213, 0.150), Sb at (0.000, 0.000, 0.310) and Sb at (0.000, 0.500, 0.000).

=====

Material: SrHfSb2
Method: DFT, PBE-GGA
State: relaxed

It has space group F-43m (No. 216), with a = 7.563 Å, b = 7.563 Å, c = 7.563 Å, α = 90.00°, β = 90.00° and γ = 90.00°. Symmetry generates all atoms from Sr at (0.000, 0.000, 0.000), Hf at (0.250, 0.250, 0.250), Sb at (0.000, 0.000, 0.500) and Sb at (0.250, 0.250, 0.750).

=====

Material: HfTaSb2
Method: DFT, PBE-GGA
State: relaxed

It has space group F-43m (No. 216), with a = 7.038 Å, b = 7.038 Å, c = 7.038 Å, α = 90.00°, β = 90.00° and γ = 90.00°. Symmetry generates all atoms from Hf at (0.000, 0.000, 0.000), Ta at (0.250, 0.250, 0.750), Sb at (0.000, 0.000, 0.500) and Sb at (0.250, 0.250, 0.250).

=====

Number 1: spin magnetization 0.0 Bohr magnetons per cell, total DFT energy (no corrections) -8.726 eV per atom. Number 2: spin magnetization 0.1 Bohr magnetons per cell, total DFT energy (no corrections) -5.562 eV per atom. Number 3: spin magnetization 8.6 Bohr magnetons per cell, total DFT energy (no corrections) -5.701 eV per atom. Number 4: spin magnetization 0.6 Bohr magnetons per cell, total DFT energy (no corrections) -6.410 eV per atom. Number 5: spin magnetization 0.0 Bohr magnetons per cell, total DFT energy (no corrections) -7.280 eV per atom. Number 6: spin magnetization 0.1 Bohr magnetons per cell, total DFT energy (no corrections) -5.316 eV per atom. Number 7: spin magnetization 0.0 Bohr magnetons per cell, total DFT energy (no corrections) -5.353 eV per atom. Number 8: spin magnetization 1.4 Bohr magnetons per cell, total DFT energy (no corrections) -5.903 eV per atom. Number 9: spin magnetization 0.1 Bohr magnetons per cell, total DFT energy (no corrections) -5.671 eV per atom. Number 10: spin magnetization 0.0 Bohr magnetons per cell, total DFT energy (no corrections) -5.386 eV per atom. Number 11: spin magnetization 0.0 Bohr magnetons per cell, total DFT energy (no corrections) -4.807 eV per atom. Number 12: spin magnetization 3.8 Bohr magnetons per cell, total DFT energy (no corrections) -7.220 eV per atom.